DFT (PBE) results for LiRu2O4 after structural relaxation.

Computed properties:
As for the uncorrected formation energy: -1.112 eV/atom.

a = 9.3919 Å, b = 2.7711 Å, c = 11.2850 Å
α = 90.00°, β = 90.00°, γ = 90.00°
Last column: nearest neighbours and their distance in Å.
Atoms (fractional coordinates):
Li 0.2485 0.2500 0.1046  4 O 2.06-2.07
Li 0.2515 0.7500 0.6046  4 O 2.06-2.07
Li 0.7485 0.2500 0.3954  4 O 2.06-2.07
Li 0.7515 0.7500 0.8954  4 O 2.06-2.07
Ru 0.0597 0.7500 0.8811  6 O 1.97-2.10
Ru 0.0852 0.7500 0.3931  6 O 1.98-2.10
Ru 0.4148 0.2500 0.8931  6 O 1.98-2.10
Ru 0.4403 0.2500 0.3811  6 O 1.97-2.10
Ru 0.5597 0.7500 0.6189  6 O 1.97-2.10
Ru 0.5852 0.7500 0.1069  6 O 1.98-2.10
Ru 0.9148 0.2500 0.6069  6 O 1.98-2.10
Ru 0.9403 0.2500 0.1189  6 O 1.97-2.10
O 0.0297 0.2500 0.2766  3 Ru 1.97-1.98
O 0.0932 0.7500 0.0618  3 Ru 2.06-2.10, 2 Li 2.07
O 0.1153 0.2500 0.5306  2 Li 2.06, 3 Ru 2.07-2.10
O 0.2077 0.2500 0.8404  3 Ru 2.02-2.03
O 0.2923 0.7500 0.3404  3 Ru 2.02-2.03
O 0.3847 0.7500 0.0306  2 Li 2.06, 3 Ru 2.07-2.10
O 0.4068 0.2500 0.5618  3 Ru 2.06-2.10, 2 Li 2.07
O 0.4703 0.7500 0.7766  3 Ru 1.97-1.98
O 0.5297 0.2500 0.2234  3 Ru 1.97-1.98
O 0.5932 0.7500 0.4382  3 Ru 2.06-2.10, 2 Li 2.07
O 0.6153 0.2500 0.9694  2 Li 2.06, 3 Ru 2.07-2.10
O 0.7077 0.2500 0.6596  3 Ru 2.02-2.03
O 0.7923 0.7500 0.1596  3 Ru 2.02-2.03
O 0.8847 0.7500 0.4694  2 Li 2.06, 3 Ru 2.07-2.10
O 0.9068 0.2500 0.9382  3 Ru 2.06-2.10, 2 Li 2.07
O 0.9703 0.7500 0.7234  3 Ru 1.97-1.98